Entry from Alexandria: crystalline TbNCl3 at its relaxed geometry (PBE).

Summary:
V, Å³ per cell: 318.69
Magnetic moment, Bohr magnetons per cell: 6.00
E_form (uncorrected), eV/atom: -0.769
SG: R-3m, No. 166

POSCAR file:
```
TbNCl3
1.0
6.4108 0.0006 3.3744
4.0928 5.9780 0.0003
-0.2024 0.1365 8.1606
Cl N Tb
6 2 2
Cartesian
0.8804 1.1960 8.1614 Cl
2.3578 0.1804 5.3479 Cl
2.9246 4.1822 8.1615 Cl
5.5660 0.1807 7.0366 Cl
4.4063 3.1723 5.3481 Cl
4.0829 1.1963 9.8471 Cl
6.2176 4.1270 1.9065 N
7.7267 3.0915 6.8168 N
3.9599 5.6707 6.1951 Tb
3.3710 1.6837 7.3145 Tb
```

---

Entry from Alexandria: crystalline YPaHg at its relaxed geometry (PBE).

Summary:
V, Å³ per cell: 156.11
Magnetic moment, Bohr magnetons per cell: 0.00
ΔE_f, eV per atom: -0.149
SG: Cmcm, No. 63

POSCAR file:
```
YPaHg
1.0
3.3327 0.0000 0.0000
0.0000 5.3114 0.0000
-1.6663 0.0000 8.8193
Pa Y Hg
2 2 2
Cartesian
0.0000 3.9836 4.1162 Pa
1.6663 1.3279 4.7031 Pa
0.0000 1.3279 1.5386 Y
1.6663 3.9836 7.2807 Y
0.0000 1.3279 7.5971 Hg
1.6663 3.9836 1.2222 Hg
```

---

What is the formula in the second record? YPaHg

---

Which formula does entry 2 have? YPaHg

---

The highest V belongs to which entry? TbNCl3

---

Which formula does entry 1 have? TbNCl3